# PaTcB

An optimized crystal structure of PaTcB (PBE, Alexandria via LeMat-Bulk).

The formation enthalpy at 0 K is -0.194 eV/atom. The distance to the lowest polymorph of the same formula is 1 meV/atom.

Geometry as CIF:
```
data_PaTcB
_symmetry_space_group_name_H-M 'C 1 2/m 1'
_symmetry_Int_Tables_number 12
_cell_length_a 6.448
_cell_length_b 3.647
_cell_length_c 8.530
_cell_angle_alpha 90.00
_cell_angle_beta 103.82
_cell_angle_gamma 90.00
loop_
_symmetry_equiv_pos_as_xyz
'x,y,z'
'-x,-y,-z'
'-x,y,-z'
'x,-y,z'
'x+1/2,y+1/2,z'
'-x+1/2,-y+1/2,-z'
'-x+1/2,y+1/2,-z'
'x+1/2,-y+1/2,z'
loop_
_atom_site_label
_atom_site_fract_x
_atom_site_fract_y
_atom_site_fract_z
Pa1 0.112 0.000 0.359
Tc1 0.128 0.500 0.882
B1 0.215 0.500 0.158
```